No. 1
# GGA-PBEsol K2PtAu, relaxed
data_K2PtAu
_chemical_formula_sum 'K8 Pt4 Au4'
_space_group_name_H-M_alt 'F m -3 m'
_space_group_IT_number 225
_space_group_name_Hall '-F 4 2 3'
_cell_length_a 7.4294
_cell_length_b 7.4294
_cell_length_c 7.4294
_cell_angle_alpha 90.00
_cell_angle_beta 90.00
_cell_angle_gamma 90.00
loop_
_atom_site_label
_atom_site_type_symbol
_atom_site_fract_x
_atom_site_fract_y
_atom_site_fract_z
K1 K 0.2500 0.2500 0.2500
Pt1 Pt 0.0000 0.0000 0.0000
Au1 Au 0.0000 0.0000 0.5000
# **Total DFT energy (no corrections)**: -2.9073 eV/atom
# **ΔE_f**: 381 meV per atom
# **Magnetic moment**: 0.00 μB per atom
# **Offset from the most stable computed form**: 0.2115 eV/atom

=====

No. 2
# GGA-PBEsol CaCoTe, relaxed
data_CaCoTe
_chemical_formula_sum 'Ca4 Co4 Te4'
_space_group_name_H-M_alt 'F -4 3 m'
_space_group_IT_number 216
_space_group_name_Hall 'F -4 2 3'
_cell_length_a 6.8022
_cell_length_b 6.8022
_cell_length_c 6.8022
_cell_angle_alpha 90.00
_cell_angle_beta 90.00
_cell_angle_gamma 90.00
loop_
_atom_site_label
_atom_site_type_symbol
_atom_site_fract_x
_atom_site_fract_y
_atom_site_fract_z
Ca1 Ca 0.0000 0.0000 0.0000
Co1 Co 0.2500 0.2500 0.2500
Te1 Te 0.2500 0.2500 0.7500
# **Total DFT energy (no corrections)**: -4.1823 eV/atom
# **Magnetic moment**: 0.62 μB per atom
# **Raw formation energy**: 0.283 eV/atom
# **Offset from the most stable computed form**: 0.8617 eV/atom

=====

No. 3
# GGA-PBEsol SrCdAu2, relaxed
data_SrCdAu2
_chemical_formula_sum 'Sr2 Cd2 Au4'
_space_group_name_H-M_alt 'A m m 2'
_space_group_IT_number 38
_space_group_name_Hall 'A 2 -2'
_cell_length_a 4.3946
_cell_length_b 3.9762
_cell_length_c 10.8157
_cell_angle_alpha 90.00
_cell_angle_beta 90.00
_cell_angle_gamma 90.00
loop_
_atom_site_label
_atom_site_type_symbol
_atom_site_fract_x
_atom_site_fract_y
_atom_site_fract_z
Sr1 Sr 0.0000 0.0000 0.0000
Cd1 Cd 0.5000 0.0000 0.2973
Au1 Au 0.0000 0.0000 0.7288
Au2 Au 0.5000 0.0000 0.5740
# **Total DFT energy (no corrections)**: -3.1718 eV/atom
# **ΔE_f**: -450 meV per atom
# **Magnetic moment**: 0.00 μB per atom

=====

No. 4
# GGA-PBEsol K2CuH4Cl4O2, relaxed
data_K2CuH4Cl4O2
_chemical_formula_sum 'K4 Cu2 H8 Cl8 O4'
_space_group_name_H-M_alt 'P 42/m n m'
_space_group_IT_number 136
_space_group_name_Hall '-P 4n 2n'
_cell_length_a 7.3505
_cell_length_b 7.3505
_cell_length_c 7.7812
_cell_angle_alpha 90.00
_cell_angle_beta 90.00
_cell_angle_gamma 90.00
loop_
_atom_site_label
_atom_site_type_symbol
_atom_site_fract_x
_atom_site_fract_y
_atom_site_fract_z
K1 K 0.0000 0.5000 0.2500
Cu1 Cu 0.0000 0.0000 0.0000
H1 H 0.0784 0.0784 0.3233
Cl1 Cl 0.2172 0.2172 0.0000
Cl2 Cl 0.2202 0.2202 0.5000
O1 O 0.0000 0.0000 0.2480
# **Total DFT energy (no corrections)**: -4.1333 eV/atom
# **Magnetic moment**: 0.08 μB per atom

=====

Q: What is the total DFT energy (no corrections) in the second record?
A: -4.1823 eV/atom

=====

Q: The highest total DFT energy (no corrections) belongs to which entry?
A: K2PtAu